DFT (GGA-PBE) results for an optimized crystal structure of Sr3CoTe.

**Formation energy without anion corrections**: -0.2366 eV per atom
**Density**: 4.3 g/cm3
**DOS at the Fermi energy**: 4.52 states/eV per cell
**SG**: No. 221
**M_tot**: 0.0 μB per cell
**E above lowest polymorph**: 0.000 eV/atom

Cell and atoms, written as extended XYZ:
```
5
Lattice="5.5810 0.0000 0.0000 0.0000 5.5810 0.0000 0.0000 0.0000 5.5810" Properties=species:S:1:pos:R:3 pbc="T T T"
Sr 0.0000 2.7905 0.0000
Sr 0.0000 0.0000 2.7905
Sr 2.7905 0.0000 0.0000
Te 2.7905 2.7905 2.7905
Co 0.0000 0.0000 0.0000
```